[1]
Ba2ReW | PBE-GGA | relaxed

Computed properties:
E_tot ... -0.388 Ry per atom
Symmetry ... Fm-3m, No. 225
Energy above the lowest structure with this stoichiometry ... 1464 meV per atom

Cell lengths 5.4579, 5.4579, 5.4579 Å; angles 60.00, 60.00, 60.00 degrees
Each line ends with the local moment (μB).
Positions (direct):
W (0.0000, 0.0000, 0.0000)  2.10
Re (0.5000, 0.5000, 0.5000)  1.60
Ba (0.7500, 0.7500, 0.7500)  0.06
Ba (0.2500, 0.2500, 0.2500)  0.06


[2]
BaAl2CuPb | PBE-GGA | relaxed

Computed properties:
E_tot ... -0.135 Ry per atom
Symmetry ... P4/mmm, No. 123

Cell lengths 6.0556, 6.3531, 6.0556 Å; angles 90.00, 90.00, 90.00 degrees
Positions (direct):
Al (0.0000, 0.0000, 0.5000)
Al (0.5000, 0.0000, 0.0000)
Pb (0.0000, 0.5000, 0.0000)
Ba (0.0000, 0.0000, 0.0000)
Cu (0.5000, 0.5000, 0.5000)


Density of states at the Fermi level (computed, states/eV/f.u.): 5.5, 8.2
Energy relative to the elements (computed, eV/atom): 2.04, 1.60